ErCdB after structural relaxation. Source: OQMD via LeMat-Bulk, functional PBE.

a b c (Å): 4.294 4.294 4.294
angles (deg): 60.00 60.00 60.00
Element x y z (fractional)
B (0.000, 0.000, 0.000)
Cd (0.250, 0.250, 0.250)
Er (0.750, 0.750, 0.750)

## Properties
**Total energy**: -4.119 eV per atom
**Space group**: F-43m
**Energy above the most stable polymorph in this dataset**: 0 meV/atom

***

BePd2Pt after structural relaxation. Source: OQMD via LeMat-Bulk, functional PBE.

a b c (Å): 4.289 4.289 4.289
angles (deg): 60.00 60.00 60.00
Element x y z (fractional)
Be (0.500, 0.500, 0.500)
Pd (0.000, 0.000, 0.000)
Pd (0.750, 0.750, 0.750)
Pt (0.250, 0.250, 0.250)

## Properties
**Total energy**: -5.190 eV per atom
**Space group**: F-43m

***

PrTmAlOs2 after structural relaxation. Source: OQMD via LeMat-Bulk, functional PBE.

a b c (Å): 5.682 5.682 5.682
angles (deg): 136.28 120.89 76.34
Element x y z (fractional)
Al (0.999, 0.999, 0.000)
Os (0.725, 0.502, 0.223)
Os (0.279, 0.502, 0.777)
Pr (0.296, 0.796, 0.500)
Tm (0.702, 0.202, 0.500)

## Properties
**Total energy**: -7.409 eV per atom
**Space group**: Imm2

***

CsCdB4 after structural relaxation. Source: OQMD via LeMat-Bulk, functional PBE.

a b c (Å): 6.117 6.117 6.117
angles (deg): 150.85 125.49 63.01
Element x y z (fractional)
B (0.599, 0.254, 0.344)
B (0.090, 0.746, 0.344)
B (0.910, 0.254, 0.656)
B (0.401, 0.746, 0.656)
Cd (0.000, 0.000, 0.000)
Cs (0.500, 0.500, 0.000)

## Properties
**Total energy**: -3.882 eV per atom
**Space group**: Immm
**Energy above the most stable polymorph in this dataset**: 204 meV/atom

***

MgTlFeRe after structural relaxation. Source: OQMD via LeMat-Bulk, functional PBE.

a b c (Å): 4.524 4.524 4.524
angles (deg): 60.00 60.00 60.00
Element x y z (fractional)
Fe (0.750, 0.750, 0.750)
Mg (0.250, 0.250, 0.250)
Re (0.500, 0.500, 0.500)
Tl (0.000, 0.000, 0.000)

## Properties
**Total energy**: -5.463 eV per atom
**Space group**: F-43m
**Energy above the most stable polymorph in this dataset**: 0 meV/atom

***

Sc4NiSN2 after structural relaxation. Source: OQMD via LeMat-Bulk, functional PBE.

a b c (Å): 3.297 3.297 12.203
angles (deg): 90.00 90.00 120.00
Element x y z (fractional)
N (0.667, 0.333, 0.239)
N (0.667, 0.333, 0.761)
Ni (0.000, 0.000, 0.500)
S (0.333, 0.667, 0.000)
Sc (0.000, 0.000, 0.146)
Sc (0.333, 0.667, 0.348)
Sc (0.333, 0.667, 0.652)
Sc (0.000, 0.000, 0.854)

## Properties
**Total energy**: -7.880 eV per atom
**Space group**: P-6m2